No. 1
A plane-wave DFT calculation with PBE was carried out for a relaxed Tc2PbCl crystal.

Cell: 4.636 4.636 3.235 Å, 90.00 90.00 90.00°
Space group P4/mmm (No. 123)
One atom of each set of equivalent atoms:
Tc1 0.000 0.500 0.000 [2 per cell]
Pb1 0.000 0.000 0.500 [1 per cell]
Cl1 0.500 0.500 0.500 [1 per cell]

Total moment   0.0 μB per formula unit
ΔE_f (raw)   1036 meV per atom
Energy above the lowest structure with this stoichiometry   992 meV per atom

---

No. 2
A plane-wave DFT calculation with PBE was carried out for a relaxed Tc2PbCl crystal.

Cell: 3.005 3.005 8.969 Å, 90.00 90.00 90.00°
Space group P4mm (No. 99)
One atom of each set of equivalent atoms:
Tc1 0.000 0.000 0.000 [1 per cell]
Tc2 0.500 0.500 0.167 [1 per cell]
Pb1 0.500 0.500 0.744 [1 per cell]
Cl1 0.000 0.000 0.362 [1 per cell]

Total moment   0.0 μB per formula unit
ΔE_f (raw)   146 meV per atom
Energy above the lowest structure with this stoichiometry   102 meV per atom